(1)
DFT (GGA-PBE) results for an optimized crystal structure of VCuSi3.

a b c (Å): 4.470 4.470 4.470
angles (deg): 90.00 90.00 90.00
Space group Pm-3m (No. 221)
Asymmetric unit:
1 V 0.000 0.000 0.000
2 Cu 0.500 0.500 0.500
3 Si 0.000 0.500 0.500

E	-4.93	eV/atom

(2)
DFT (GGA-PBE) results for an optimized crystal structure of OsBr2.

a b c (Å): 13.881 3.716 7.661
angles (deg): 90.00 110.20 90.00
Space group C2/m (No. 12)
Asymmetric unit:
1 Os 0.017 0.000 0.168
2 Br 0.099 0.500 0.810
3 Br 0.145 0.500 0.267

E	-4.57	eV/atom

(3)
DFT (GGA-PBE) results for an optimized crystal structure of MgGaGeRh.

a b c (Å): 2.956 4.809 5.073
angles (deg): 90.00 90.00 90.00
Space group Pmmm (No. 47)
Asymmetric unit:
1 Mg 0.000 0.000 0.000
2 Ga 0.500 0.500 0.000
3 Ge 0.500 0.500 0.500
4 Rh 0.500 0.000 0.500

energy relative to the elements	-0.033	eV/atom

(4)
DFT (GGA-PBE) results for an optimized crystal structure of Ca3TaBe.

a b c (Å): 5.397 5.397 5.397
angles (deg): 90.00 90.00 90.00
Space group Pm-3m (No. 221)
Asymmetric unit:
1 Ca 0.000 0.000 0.500
2 Ta 0.500 0.500 0.500
3 Be 0.000 0.000 0.000

energy relative to the elements	1.089	eV/atom

(5)
DFT (GGA-PBE) results for an optimized crystal structure of LaCe2Si.

a b c (Å): 4.637 4.637 4.740
angles (deg): 90.00 90.00 90.00
Space group P4/mmm (No. 123)
Asymmetric unit:
1 La 0.000 0.000 0.000
2 Ce 0.000 0.500 0.500
3 Si 0.500 0.500 0.000

E	-5.83	eV/atom

(6)
DFT (GGA-PBE) results for an optimized crystal structure of LiThRh2.

a b c (Å): 6.630 6.630 6.630
angles (deg): 90.00 90.00 90.00
Space group Fm-3m (No. 225)
Asymmetric unit:
1 Li 0.000 0.000 0.000
2 Th 0.000 0.000 0.500
3 Rh 0.250 0.250 0.250

energy relative to the elements	-0.629	eV/atom

(7)
DFT (GGA-PBE) results for an optimized crystal structure of BaYSeBr2.

a b c (Å): 5.534 5.534 5.559
angles (deg): 90.00 90.00 90.00
Space group P4/mmm (No. 123)
Asymmetric unit:
1 Ba 0.000 0.000 0.000
2 Y 0.500 0.500 0.500
3 Se 0.500 0.500 0.000
4 Br 0.000 0.500 0.500

E	-4.66	eV/atom

(8)
DFT (GGA-PBE) results for an optimized crystal structure of Co3TcCl.

a b c (Å): 4.563 4.563 4.563
angles (deg): 90.00 90.00 90.00
Space group Pm-3m (No. 221)
Asymmetric unit:
1 Co 0.000 0.000 0.500
2 Tc 0.000 0.000 0.000
3 Cl 0.500 0.500 0.500

E	-5.18	eV/atom

| no. | DOS at the Fermi energy (states/eV/atom) |
| --- | --- |
| 1 | 1.123 |
| 2 | 0.177 |
| 3 | 0.487 |
| 4 | 0.832 |
| 5 | 2.301 |
| 6 | 0.515 |
| 7 | 0.559 |
| 8 | 1.273 |